Density functional theory data (PBE) for an optimized crystal structure of Rb5PdIO2.

The value obtained for the uncorrected formation energy is -8.6 eV/f.u. Its crystal system is tetragonal.

a b c (Å): 5.682 5.682 9.643
angles (deg): 90.00 90.00 90.00
Element x y z (fractional)
1 Rb 0.000 0.000 0.000
2 Rb 0.000 0.500 0.294
3 Rb 0.000 0.500 0.706
4 Rb 0.500 0.000 0.294
5 Rb 0.500 0.000 0.706
6 Pd 0.000 0.000 0.500
7 I 0.500 0.500 0.000
8 O 0.000 0.000 0.282
9 O 0.000 0.000 0.718



Density functional theory data (PBE) for an optimized crystal structure of ScReAu3.

The calculation puts the offset from the most stable computed form at 0.0 meV/atom. Its formation energy is 866.8 meV/atom. Its crystal system is cubic.

a b c (Å): 4.992 4.992 4.992
angles (deg): 90.00 90.00 90.00
Element x y z (fractional)
1 Sc 0.000 0.000 0.000
2 Re 0.500 0.500 0.500
3 Au 0.000 0.500 0.500
4 Au 0.500 0.000 0.500
5 Au 0.500 0.500 0.000



Density functional theory data (PBE) for an optimized crystal structure of ScCd2Sb.

The value obtained for the uncorrected formation energy is -0.9 eV/f.u. Its crystal system is monoclinic.

a b c (Å): 10.554 3.584 5.353
angles (deg): 90.00 110.03 90.00
Element x y z (fractional)
1 Sc 0.000 0.000 0.000
2 Sc 0.500 0.500 0.000
3 Cd 0.247 0.000 0.616
4 Cd 0.496 0.000 0.493
5 Cd 0.747 0.500 0.616
6 Cd 0.996 0.500 0.493
7 Sb 0.239 0.500 0.089
8 Sb 0.739 0.000 0.089



Density functional theory data (PBE) for an optimized crystal structure of FeRe2Ag.

The calculation puts the offset from the most stable computed form at 180.0 meV/atom. Its formation energy is 465.6 meV/atom. Its crystal system is orthorhombic.

a b c (Å): 2.787 4.457 9.752
angles (deg): 90.00 90.00 90.00
Element x y z (fractional)
1 Fe 0.000 0.000 0.000
2 Fe 0.500 0.500 0.500
3 Re 0.000 0.500 0.285
4 Re 0.000 0.500 0.715
5 Re 0.500 0.000 0.215
6 Re 0.500 0.000 0.785
7 Ag 0.000 0.000 0.500
8 Ag 0.500 0.500 0.000



Density functional theory data (PBE) for an optimized crystal structure of PmSm2Ho2Tm2.

Its formation energy is 127.0 meV/atom. Its crystal system is monoclinic.

a b c (Å): 12.396 5.922 6.247
angles (deg): 90.00 101.11 90.00
Element x y z (fractional)
1 Pm 0.000 0.000 0.000
2 Pm 0.500 0.500 0.000
3 Sm 0.076 0.500 0.287
4 Sm 0.424 0.000 0.713
5 Sm 0.576 0.000 0.287
6 Sm 0.924 0.500 0.713
7 Ho 0.142 0.000 0.577
8 Ho 0.358 0.500 0.423
9 Ho 0.642 0.500 0.577
10 Ho 0.858 0.000 0.423
11 Tm 0.216 0.500 0.853
12 Tm 0.284 0.000 0.147
13 Tm 0.716 0.000 0.853
14 Tm 0.784 0.500 0.147



Density functional theory data (PBE) for an optimized crystal structure of CeErGa2Pd2.

Its formation energy is -817.7 meV/atom. Its crystal system is trigonal.

a b c (Å): 4.526 4.526 6.835
angles (deg): 90.00 90.00 120.00
Element x y z (fractional)
1 Ce 0.000 0.000 0.000
2 Er 0.000 0.000 0.500
3 Ga 0.333 0.667 0.266
4 Ga 0.667 0.333 0.734
5 Pd 0.333 0.667 0.731
6 Pd 0.667 0.333 0.269



Density functional theory data (PBE) for an optimized crystal structure of Cu2TcBr.

The calculation puts the offset from the most stable computed form at 392.3 meV/atom. The value obtained for the uncorrected formation energy is 3.6 eV/f.u. Its crystal system is tetragonal.

a b c (Å): 3.739 3.739 8.920
angles (deg): 90.00 90.00 90.00
Element x y z (fractional)
1 Cu 0.000 0.500 0.250
2 Cu 0.000 0.500 0.750
3 Cu 0.500 0.000 0.250
4 Cu 0.500 0.000 0.750
5 Tc 0.000 0.000 0.000
6 Tc 0.500 0.500 0.500
7 Br 0.000 0.000 0.500
8 Br 0.500 0.500 0.000



Density functional theory data (PBE) for an optimized crystal structure of Hf2GeP.

The calculation puts the offset from the most stable computed form at 0.0 meV/atom. Its formation energy is -919.9 meV/atom. Its crystal system is monoclinic.

a b c (Å): 6.515 3.757 6.557
angles (deg): 90.00 109.14 90.00
Element x y z (fractional)
1 Hf 0.246 0.000 0.239
2 Hf 0.254 0.500 0.761
3 Hf 0.746 0.500 0.239
4 Hf 0.754 0.000 0.761
5 Ge 0.000 0.000 0.500
6 Ge 0.500 0.500 0.500
7 P 0.000 0.500 0.000
8 P 0.500 0.000 0.000



Density functional theory data (PBE) for an optimized crystal structure of SrGeS2.

The value obtained for the uncorrected formation energy is -4.1 eV/f.u. Its crystal system is trigonal.

a b c (Å): 4.028 4.028 20.676
angles (deg): 90.00 90.00 120.00
Element x y z (fractional)
1 Sr 0.000 0.000 0.000
2 Sr 0.333 0.667 0.667
3 Sr 0.667 0.333 0.333
4 Ge 0.000 0.000 0.168
5 Ge 0.333 0.667 0.835
6 Ge 0.667 0.333 0.502
7 S 0.000 0.000 0.576
8 S 0.000 0.000 0.759
9 S 0.333 0.667 0.243
10 S 0.333 0.667 0.425
11 S 0.667 0.333 0.092
12 S 0.667 0.333 0.909



Density functional theory data (PBE) for an optimized crystal structure of CsMnZn3.

Its formation energy is 390.1 meV/atom. Its crystal system is cubic.

a b c (Å): 5.135 5.135 5.135
angles (deg): 90.00 90.00 90.00
Element x y z (fractional)
1 Cs 0.000 0.000 0.000
2 Mn 0.500 0.500 0.500
3 Zn 0.000 0.500 0.500
4 Zn 0.500 0.000 0.500
5 Zn 0.500 0.500 0.000



Density functional theory data (PBE) for an optimized crystal structure of LaUWC3.

Its formation energy is 107.8 meV/atom. Its crystal system is monoclinic.

a b c (Å): 7.406 3.684 8.127
angles (deg): 90.00 98.87 90.00
Element x y z (fractional)
1 La 0.169 0.250 0.174
2 La 0.831 0.750 0.826
3 U 0.358 0.750 0.843
4 U 0.642 0.250 0.157
5 W 0.102 0.250 0.601
6 W 0.898 0.750 0.399
7 C 0.133 0.250 0.850
8 C 0.172 0.750 0.524
9 C 0.438 0.750 0.117
10 C 0.562 0.250 0.883
11 C 0.828 0.250 0.476
12 C 0.867 0.750 0.150



Density functional theory data (PBE) for an optimized crystal structure of Rb2ScCI6.

The value obtained for the uncorrected formation energy is -4.5 eV/f.u. Its crystal system is tetragonal.

a b c (Å): 8.103 8.103 8.103
angles (deg): 117.24 117.24 94.85
Element x y z (fractional)
1 Rb 0.250 0.750 0.500
2 Rb 0.750 0.250 0.500
3 Sc 0.000 0.000 0.000
4 C 0.500 0.500 0.000
5 I 0.243 0.243 0.485
6 I 0.243 0.757 0.000
7 I 0.268 0.268 0.000
8 I 0.732 0.732 0.000
9 I 0.757 0.243 0.000
10 I 0.757 0.757 0.515